[1]
Computed, not measured: crystalline Pu2PbI at its relaxed geometry at the GGA-PBE level of DFT.

Calculated values
Spin magnetization (Bohr magnetons per cell): 12.44
SG: P4/mmm
E above lowest polymorph (eV per atom): 0.000
Electronic total energy (eV/cell): -35.29
Formation energy without anion corrections (eV/atom): -0.3427

a = 3.658 Å, b = 3.658 Å, c = 8.576 Å
α = 90.00°, β = 90.00°, γ = 90.00°
Element x y z (fractional)
Pu (0.000, 0.000, 0.248)
Pu (0.000, 0.000, 0.752)
Pb (0.500, 0.500, 0.000)
I (0.500, 0.500, 0.500)

***

[2]
Computed, not measured: crystalline CeYNp2Se4 at its relaxed geometry at the GGA-PBE level of DFT.

Calculated values
Spin magnetization (Bohr magnetons per cell): 9.91
SG: P2/m
Electronic total energy (eV/cell): -63.79
Formation energy without anion corrections (eV/atom): -1.4462

a = 7.108 Å, b = 4.123 Å, c = 7.170 Å
α = 90.00°, β = 109.41°, γ = 90.00°
Element x y z (fractional)
Ce (0.000, 0.000, 0.000)
Y (0.000, 0.500, 0.500)
Np (0.500, 0.000, 0.500)
Np (0.500, 0.500, 0.000)
Se (0.251, 0.000, 0.746)
Se (0.256, 0.500, 0.256)
Se (0.744, 0.500, 0.744)
Se (0.749, 0.000, 0.254)

***

[3]
Computed, not measured: crystalline Pm3Cd2Os at its relaxed geometry at the GGA-PBE level of DFT.

Calculated values
Spin magnetization (Bohr magnetons per cell): 0.00
SG: Cmmm
Electronic total energy (eV/cell): -57.28
Calculated formation energy (meV per atom): -222

a = 8.085 Å, b = 8.085 Å, c = 7.820 Å
α = 90.00°, β = 90.00°, γ = 142.76°
Element x y z (fractional)
Pm (0.000, 0.000, 0.228)
Pm (0.000, 0.000, 0.772)
Pm (0.325, 0.675, 0.219)
Pm (0.325, 0.675, 0.781)
Pm (0.675, 0.325, 0.219)
Pm (0.675, 0.325, 0.781)
Cd (0.164, 0.836, 0.500)
Cd (0.500, 0.500, 0.000)
Cd (0.500, 0.500, 0.500)
Cd (0.836, 0.164, 0.500)
Os (0.161, 0.839, 0.000)
Os (0.839, 0.161, 0.000)

***

[4]
Computed, not measured: crystalline Tl3AgPd at its relaxed geometry at the GGA-PBE level of DFT.

Calculated values
Spin magnetization (Bohr magnetons per cell): 0.00
SG: Pm-3m
E above lowest polymorph (eV per atom): 0.000
Electronic total energy (eV/cell): -14.31
Calculated formation energy (meV per atom): 166

a = 5.347 Å, b = 5.347 Å, c = 5.347 Å
α = 90.00°, β = 90.00°, γ = 90.00°
Element x y z (fractional)
Tl (0.000, 0.000, 0.500)
Tl (0.000, 0.500, 0.000)
Tl (0.500, 0.000, 0.000)
Ag (0.500, 0.500, 0.500)
Pd (0.000, 0.000, 0.000)

***

[5]
Computed, not measured: crystalline ZnPd2Pt5 at its relaxed geometry at the GGA-PBE level of DFT.

Calculated values
Spin magnetization (Bohr magnetons per cell): 0.00
SG: Pbam
E above lowest polymorph (eV per atom): 0.016
Electronic total energy (eV/cell): -86.67
Calculated formation energy (meV per atom): -184

a = 5.584 Å, b = 11.239 Å, c = 3.911 Å
α = 90.00°, β = 90.00°, γ = 90.00°
Element x y z (fractional)
Zn (0.000, 0.000, 0.000)
Zn (0.500, 0.500, 0.000)
Pd (0.236, 0.119, 0.500)
Pd (0.264, 0.619, 0.500)
Pd (0.736, 0.381, 0.500)
Pd (0.764, 0.881, 0.500)
Pt (0.000, 0.500, 0.000)
Pt (0.013, 0.755, 0.000)
Pt (0.236, 0.371, 0.500)
Pt (0.264, 0.871, 0.500)
Pt (0.487, 0.255, 0.000)
Pt (0.500, 0.000, 0.000)
Pt (0.513, 0.745, 0.000)
Pt (0.736, 0.129, 0.500)
Pt (0.764, 0.629, 0.500)
Pt (0.987, 0.245, 0.000)

***

[6]
Computed, not measured: crystalline ZrZn2Ga at its relaxed geometry at the GGA-PBE level of DFT.

Calculated values
Spin magnetization (Bohr magnetons per cell): 0.00
SG: R-3m
Electronic total energy (eV/cell): -43.97
Calculated formation energy (meV per atom): -133

a = 4.131 Å, b = 4.131 Å, c = 14.183 Å
α = 90.00°, β = 90.00°, γ = 120.00°
Element x y z (fractional)
Zr (0.000, 0.000, 0.000)
Zr (0.333, 0.667, 0.667)
Zr (0.667, 0.333, 0.333)
Zn (0.000, 0.000, 0.224)
Zn (0.000, 0.000, 0.776)
Zn (0.333, 0.667, 0.443)
Zn (0.333, 0.667, 0.891)
Zn (0.667, 0.333, 0.109)
Zn (0.667, 0.333, 0.557)
Ga (0.000, 0.000, 0.500)
Ga (0.333, 0.667, 0.167)
Ga (0.667, 0.333, 0.833)

***

[7]
Computed, not measured: crystalline Sc3VMo at its relaxed geometry at the GGA-PBE level of DFT.

Calculated values
Spin magnetization (Bohr magnetons per cell): 3.49
SG: Pm-3m
E above lowest polymorph (eV per atom): 0.000
Electronic total energy (eV/cell): -34.97
Calculated formation energy (meV per atom): 794

a = 4.975 Å, b = 4.975 Å, c = 4.975 Å
α = 90.00°, β = 90.00°, γ = 90.00°
Element x y z (fractional)
Sc (0.000, 0.000, 0.500)
Sc (0.000, 0.500, 0.000)
Sc (0.500, 0.000, 0.000)
V (0.500, 0.500, 0.500)
Mo (0.000, 0.000, 0.000)

***

[8]
Computed, not measured: crystalline NaLuMgTl at its relaxed geometry at the GGA-PBE level of DFT.

Calculated values
Spin magnetization (Bohr magnetons per cell): 0.00
SG: F-43m
Electronic total energy (eV/cell): -39.73
Calculated formation energy (meV per atom): -33

a = 7.450 Å, b = 7.450 Å, c = 7.450 Å
α = 90.00°, β = 90.00°, γ = 90.00°
Element x y z (fractional)
Na (0.000, 0.000, 0.000)
Na (0.000, 0.500, 0.500)
Na (0.500, 0.000, 0.500)
Na (0.500, 0.500, 0.000)
Lu (0.000, 0.000, 0.500)
Lu (0.000, 0.500, 0.000)
Lu (0.500, 0.000, 0.000)
Lu (0.500, 0.500, 0.500)
Mg (0.250, 0.250, 0.750)
Mg (0.250, 0.750, 0.250)
Mg (0.750, 0.250, 0.250)
Mg (0.750, 0.750, 0.750)
Tl (0.250, 0.250, 0.250)
Tl (0.250, 0.750, 0.750)
Tl (0.750, 0.250, 0.750)
Tl (0.750, 0.750, 0.250)

***

[9]
Computed, not measured: crystalline Sc2TiSbC at its relaxed geometry at the GGA-PBE level of DFT.

Calculated values
Spin magnetization (Bohr magnetons per cell): 0.91
SG: P4/mmm
Electronic total energy (eV/cell): -37.31
Formation energy without anion corrections (eV/atom): -0.6811

a = 4.551 Å, b = 4.551 Å, c = 4.226 Å
α = 90.00°, β = 90.00°, γ = 90.00°
Element x y z (fractional)
Sc (0.000, 0.500, 0.000)
Sc (0.500, 0.000, 0.000)
Ti (0.000, 0.000, 0.500)
Sb (0.500, 0.500, 0.500)
C (0.000, 0.000, 0.000)

***

[10]
Computed, not measured: crystalline YTl2Ni at its relaxed geometry at the GGA-PBE level of DFT.

Calculated values
Spin magnetization (Bohr magnetons per cell): 0.00
SG: Pm
Electronic total energy (eV/cell): -17.36
Calculated formation energy (meV per atom): -95

a = 3.842 Å, b = 3.844 Å, c = 6.861 Å
α = 90.00°, β = 106.16°, γ = 90.00°
Element x y z (fractional)
Y (0.000, 0.000, 0.000)
Tl (0.349, 0.500, 0.702)
Tl (0.710, 0.000, 0.429)
Ni (0.564, 0.500, 0.128)

***

[11]
Computed, not measured: crystalline MgRhCl at its relaxed geometry at the GGA-PBE level of DFT.

Calculated values
Spin magnetization (Bohr magnetons per cell): 0.49
SG: P1
E above lowest polymorph (eV per atom): 0.016
Electronic total energy (eV/cell): -25.74
Formation energy without anion corrections (eV/atom): -0.6932

a = 3.339 Å, b = 4.495 Å, c = 10.641 Å
α = 89.44°, β = 81.05°, γ = 68.23°
Element x y z (fractional)
Mg (0.000, 0.000, 0.000)
Mg (0.331, 0.717, 0.617)
Rh (0.534, 0.140, 0.792)
Rh (0.800, 0.577, 0.825)
Cl (0.396, 0.053, 0.156)
Cl (0.940, 0.655, 0.461)

***

[12]
Computed, not measured: crystalline Fe2Pb at its relaxed geometry at the GGA-PBE level of DFT.

Calculated values
Spin magnetization (Bohr magnetons per cell): 10.23
SG: I4/mmm
Electronic total energy (eV/cell): -38.65
Calculated formation energy (meV per atom): 436

a = 3.270 Å, b = 3.270 Å, c = 9.185 Å
α = 90.00°, β = 90.00°, γ = 90.00°
Element x y z (fractional)
Fe (0.000, 0.000, 0.193)
Fe (0.000, 0.000, 0.807)
Fe (0.500, 0.500, 0.307)
Fe (0.500, 0.500, 0.693)
Pb (0.000, 0.000, 0.500)
Pb (0.500, 0.500, 0.000)